Record 1
A geometry-optimized Pr3Er7Tm2 structure. Source: the Alexandria database, functional PBE. Values from VASP.

The structure in Quantum ESPRESSO input format:
```
&SYSTEM
  ibrav = 0, nat = 12, ntyp = 3
/
ATOMIC_SPECIES
Er 167.26 Er.upf
Tm 168.93 Tm.upf
Pr 140.91 Pr.upf
CELL_PARAMETERS angstrom
3.581 0.000 -0.470
0.000 5.565 0.000
0.847 0.000 20.402
ATOMIC_POSITIONS angstrom
Er 0.361 2.783 2.738
Er 2.184 5.565 16.723
Er 4.066 2.783 17.194
Er 1.502 2.783 11.482
Tm 2.517 2.783 5.276
Pr 0.902 5.565 6.868
Tm 1.911 2.783 14.656
Pr 3.525 0.000 13.064
Er 2.926 2.783 8.450
Pr 1.791 2.783 -0.235
Er 0.000 0.000 0.000
Er 2.244 0.000 3.209
```

Output
Its total magnetic moment is 0.00 μB/f.u. For the energy of formation from the pure elements, the calculation gives 0.235 eV per atom. The total energy comes out at -4.3666 eV per atom.

---

Record 2
A geometry-optimized Sm4TlGeN structure. Source: the Alexandria database, functional PBE. Values from VASP.

The structure in Quantum ESPRESSO input format:
```
&SYSTEM
  ibrav = 0, nat = 14, ntyp = 4
/
ATOMIC_SPECIES
Sm 150.36 Sm.upf
N 14.01 N.upf
Tl 204.38 Tl.upf
Ge 72.64 Ge.upf
CELL_PARAMETERS angstrom
6.776 0.000 0.000
0.000 6.783 0.000
-3.388 0.000 8.002
ATOMIC_POSITIONS angstrom
Sm 1.694 0.000 4.001
N 0.000 5.087 4.034
Sm 0.000 5.087 1.260
Sm -1.694 0.000 4.001
Tl 3.388 5.087 1.740
Tl 0.000 1.696 6.262
Sm 3.388 1.696 1.391
Sm 0.000 5.087 6.611
N 3.388 1.696 3.969
Sm 1.694 3.391 4.001
Sm 3.388 1.696 6.742
Ge 3.388 5.087 6.179
Sm -1.694 3.391 4.001
Ge 0.000 1.696 1.824
```

Output
Its total magnetic moment is 0.00 μB/f.u. The value obtained for the raw formation energy is -5.4 eV per formula unit. The total energy comes out at -5.6521 eV per atom.

---

Record 3
A geometry-optimized SiGe2Br2 structure. Source: the Alexandria database, functional PBE. Values from VASP.

The structure in Quantum ESPRESSO input format:
```
&SYSTEM
  ibrav = 0, nat = 5, ntyp = 3
/
ATOMIC_SPECIES
Si 28.09 Si.upf
Br 79.90 Br.upf
Ge 72.64 Ge.upf
CELL_PARAMETERS angstrom
3.580 0.000 0.000
0.000 3.580 0.000
1.790 1.790 11.795
ATOMIC_POSITIONS angstrom
Si 0.000 0.000 0.000
Br 1.790 1.790 1.641
Ge 1.790 3.580 5.898
Ge 3.580 1.790 5.898
Br 3.580 3.580 10.154
```

Output
Its total magnetic moment is 0.00 μB/f.u. The value obtained for the raw formation energy is 1.5 eV per formula unit. The total energy comes out at -3.3018 eV per atom.

---

Record 4
A geometry-optimized K3ScTa structure. Source: the Alexandria database, functional PBE. Values from VASP.

The structure in Quantum ESPRESSO input format:
```
&SYSTEM
  ibrav = 0, nat = 5, ntyp = 3
/
ATOMIC_SPECIES
Sc 44.96 Sc.upf
K 39.10 K.upf
Ta 180.95 Ta.upf
CELL_PARAMETERS angstrom
-4.862 3.966 1.881
-2.529 -0.236 -6.038
-3.587 -5.208 1.706
ATOMIC_POSITIONS angstrom
Sc 0.000 0.000 0.000
K -2.431 1.983 0.940
Ta -5.489 -0.740 -1.225
K -1.794 -2.604 0.853
K -1.264 -0.118 -3.019
```

Output
Its total magnetic moment is 7.00 μB/f.u. For the energy of formation from the pure elements, the calculation gives 2.040 eV per atom. The total energy comes out at -2.2551 eV per atom.

---

Record 5
A geometry-optimized Cr2PtW structure. Source: the Alexandria database, functional PBE. Values from VASP.

The structure in Quantum ESPRESSO input format:
```
&SYSTEM
  ibrav = 0, nat = 4, ntyp = 3
/
ATOMIC_SPECIES
Cr 52.00 Cr.upf
Pt 195.08 Pt.upf
W 183.84 W.upf
CELL_PARAMETERS angstrom
3.896 0.000 0.000
0.000 2.636 0.030
0.000 1.939 5.469
ATOMIC_POSITIONS angstrom
Cr 0.000 2.468 2.743
Pt 1.948 1.144 1.375
W 1.948 3.431 4.124
Cr 0.000 2.456 0.037
```

Output
Its total magnetic moment is 0.02 μB/f.u. For the energy of formation from the pure elements, the calculation gives 0.109 eV per atom. The total energy comes out at -9.4510 eV per atom.

---

Record 6
A geometry-optimized SnH6N2Cl structure. Source: the Alexandria database, functional PBE. Values from VASP.

The structure in Quantum ESPRESSO input format:
```
&SYSTEM
  ibrav = 0, nat = 20, ntyp = 4
/
ATOMIC_SPECIES
N 14.01 N.upf
H 1.01 H.upf
Sn 118.71 Sn.upf
Cl 35.45 Cl.upf
CELL_PARAMETERS angstrom
6.262 0.592 0.799
-0.179 6.287 0.799
-0.956 -1.082 6.145
ATOMIC_POSITIONS angstrom
N 4.894 2.263 5.621
H 2.766 0.290 1.950
H 4.188 2.420 6.350
H 2.650 0.496 6.090
Sn -0.264 5.880 2.336
H 4.481 2.566 4.727
N 3.002 0.123 5.196
H 0.939 3.377 1.394
H 5.656 3.558 2.721
N 2.125 5.675 2.548
H 2.360 5.508 5.794
H -0.529 2.240 5.023
H 2.759 0.804 4.467
N 0.232 3.535 2.123
H 2.368 4.993 3.277
Cl 1.457 3.396 5.408
H 2.476 5.302 1.654
Cl 3.670 2.402 2.336
H 0.646 3.232 3.017
Sn 5.390 -0.082 5.408
```

Output
Its total magnetic moment is 0.00 μB/f.u. The total energy comes out at -4.6916 eV per atom.

---

Record 7
A geometry-optimized PrHo2Ag4 structure. Source: the Alexandria database, functional PBE. Values from VASP.

The structure in Quantum ESPRESSO input format:
```
&SYSTEM
  ibrav = 0, nat = 7, ntyp = 3
/
ATOMIC_SPECIES
Ho 164.93 Ho.upf
Ag 107.87 Ag.upf
Pr 140.91 Pr.upf
CELL_PARAMETERS angstrom
5.933 0.165 -1.987
-2.910 5.050 -2.282
0.095 -0.165 6.256
ATOMIC_POSITIONS angstrom
Ho 3.014 0.000 2.134
Ho 1.512 2.607 -2.134
Ag 2.966 0.082 -0.994
Ag -1.455 2.525 -1.141
Pr 0.000 0.000 0.000
Ag 0.047 -0.082 3.128
Ag 1.559 2.525 0.994
```

Output
Its total magnetic moment is 0.00 μB/f.u. For the energy of formation from the pure elements, the calculation gives -0.071 eV per atom. The total energy comes out at -3.6910 eV per atom.

---

Record 8
A geometry-optimized Pm4Te3I structure. Source: the Alexandria database, functional PBE. Values from VASP.

The structure in Quantum ESPRESSO input format:
```
&SYSTEM
  ibrav = 0, nat = 16, ntyp = 3
/
ATOMIC_SPECIES
I 126.90 I.upf
Pm 145.00 Pm.upf
Te 127.60 Te.upf
CELL_PARAMETERS angstrom
-1.191 2.348 5.539
-6.490 0.189 -1.475
-1.356 -11.330 4.512
ATOMIC_POSITIONS angstrom
I -1.277 0.186 0.084
Pm -2.715 1.385 2.662
Pm -6.133 -7.095 5.522
Te -5.839 1.476 1.951
Te -5.587 -2.518 0.304
Pm -5.202 -5.384 1.602
Pm -3.491 -4.277 4.895
Te -6.267 -8.207 2.569
Pm -5.442 -1.326 3.224
Pm -2.474 -2.673 1.039
Pm -3.139 -8.234 3.253
Pm -4.425 0.278 -0.632
Te -2.330 -1.481 3.959
Te -2.077 -5.475 2.312
Te -3.005 -7.122 6.205
I -6.639 -4.185 4.180
```

Output
Its total magnetic moment is 0.00 μB/f.u. The value obtained for the raw formation energy is -10.1 eV per formula unit. The total energy comes out at -5.0147 eV per atom.